Record 1
Here is a relaxed NaSiO2 crystal from Alexandria. Energies are from GGA-PBE.

Cell lengths 7.7906, 7.7906, 7.7906 Å; angles 20.60, 20.60, 20.60 degrees
Closest atoms and distances in Å follow each position.
Fractional coordinates of all 4 atoms:
Na (0.0000, 0.0000, 0.0000)  6 Na 2.79, 2 O 2.92
Si (0.5000, 0.5000, 0.5000)  6 O 1.84
O (0.1276, 0.1276, 0.1276)  3 Si 1.84
O (0.8724, 0.8724, 0.8724)  3 Si 1.84

Record 2
Here is a relaxed Na2SiO4 crystal from Alexandria. Energies are from GGA-PBE.

Cell lengths 6.4658, 6.4658, 6.4658 Å; angles 147.71, 147.71, 46.32 degrees
Closest atoms and distances in Å follow each position.
Fractional coordinates of all 7 atoms:
Na (0.1564, 0.1564, 0.0000)  9 O 2.36-2.59
Na (0.8436, 0.8436, 0.0000)  9 O 2.36-2.59
Si (0.5000, 0.5000, 0.0000)  6 O 1.73-1.80
O (0.0000, 0.5000, 0.5000)  2 Si 1.80
O (0.3548, 0.3548, 0.0000)  1 Si 1.73
O (0.5000, 0.0000, 0.5000)  2 Si 1.80
O (0.6452, 0.6452, 0.0000)  1 Si 1.73

Record 3
Here is a relaxed NaSi2O4 crystal from Alexandria. Energies are from GGA-PBE.

Cell lengths 5.6513, 5.6513, 5.6513 Å; angles 100.84, 100.84, 128.60 degrees
Closest atoms and distances in Å follow each position.
Fractional coordinates of all 7 atoms:
Na (0.0000, 0.0000, 0.0000)  4 O 2.41
Si (0.2500, 0.7500, 0.5000)  4 O 1.71
Si (0.7500, 0.2500, 0.5000)  4 O 1.71
O (0.0000, 0.3348, 0.3348)  2 Si 1.71
O (0.0000, 0.6652, 0.6652)  2 Si 1.71
O (0.3348, 0.0000, 0.3348)  2 Si 1.71
O (0.6652, 0.0000, 0.6652)  2 Si 1.71

Record 4
Here is a relaxed NaSiO2 crystal from Alexandria. Energies are from GGA-PBE.

Cell lengths 6.1404, 6.1404, 6.1404 Å; angles 31.02, 31.02, 31.02 degrees
Closest atoms and distances in Å follow each position.
Fractional coordinates of all 4 atoms:
Na (0.0000, 0.0000, 0.0000)  6 O 2.33
Si (0.5000, 0.5000, 0.5000)  2 O 1.56
O (0.4109, 0.4109, 0.4109)  1 Si 1.56
O (0.5891, 0.5891, 0.5891)  1 Si 1.56

Computed total energy, in the same sequence as the records: -5.743 -5.665 -6.631 -5.685 eV per atom.